VASP calculation (PBE) on crystalline Li5Ca2Cd2 at its relaxed geometry.

Its volume is 215.85 Å³/f.u. The crystal system is orthorhombic. The calculation puts the formation energy at -158 meV/atom. For the uncorrected energy, the calculation gives -1.8691 eV per atom.

The structure belongs to space group Ima2 (No. 46); the cell edges are 17.584, 8.282 and 5.929 Å and the angles 90.00°, 90.00° and 90.00°. The distinct sites, in fractional coordinates, are Li at (0.083, 0.250, 0.000), Li at (0.170, 0.012, 0.250), Li at (0.250, 0.127, 0.751), Ca at (0.088, 0.622, 0.250), Cd at (0.000, 0.000, 0.250) and Cd at (0.250, 0.750, 0.000).